# 1
Computed, not measured: CeMgCu after structural relaxation at the PBEsol level of DFT.

Results
Its symmetry is P-62m, No. 189. For the energy relative to the elements, the calculation gives -0.01 eV per atom.

a b c (Å): 7.0197 7.0197 4.3446
angles (deg): 90.00 90.00 120.00
Closest atoms and distances in Å follow each position.
Element x y z (fractional)
Ce 0.0000 0.4234 0.0000  5 Cu 2.97-3.02, 2 Mg 3.21
Ce 0.4234 0.0000 0.0000  5 Cu 2.97-3.02, 2 Mg 3.21
Ce 0.5766 0.5766 0.0000  5 Cu 2.97-3.02, 2 Mg 3.21
Mg 0.0000 0.7606 0.5000  4 Cu 2.73-2.75, 2 Mg 2.91
Mg 0.2394 0.2394 0.5000  4 Cu 2.73-2.75, 2 Mg 2.91
Mg 0.7606 0.0000 0.5000  4 Cu 2.73-2.75, 2 Mg 2.91
Cu 0.0000 0.0000 0.0000  6 Mg 2.75, 3 Ce 2.97
Cu 0.3333 0.6667 0.5000  3 Mg 2.73, 6 Ce 3.02
Cu 0.6667 0.3333 0.5000  3 Mg 2.73, 6 Ce 3.02

=====

# 2
Computed, not measured: Ce2Mn3Cu9P7 after structural relaxation at the PBEsol level of DFT.

Results
Its symmetry is P-6, No. 174. For the energy relative to the elements, the calculation gives -0.44 eV per atom.

a b c (Å): 9.3506 9.3506 3.7461
angles (deg): 90.00 90.00 120.00
Closest atoms and distances in Å follow each position.
Element x y z (fractional)
Ce 0.0000 0.0000 0.0000  6 P 2.88, 9 Cu 3.13-3.16
Ce 0.3333 0.6667 0.5000  6 P 2.89, 12 Cu 3.16-3.21
Mn 0.4560 0.2041 0.0000  3 P 2.37-2.54
Mn 0.7481 0.5440 0.0000  3 P 2.37-2.54
Mn 0.7959 0.2519 0.0000  3 P 2.37-2.54
Cu 0.0447 0.2872 0.5000  4 P 2.31-2.42, 1 Cu 2.55
Cu 0.0869 0.7138 0.0000  4 P 2.35-2.42, 2 Cu 2.60
Cu 0.2424 0.9553 0.5000  4 P 2.31-2.42, 1 Cu 2.55
Cu 0.2862 0.3731 0.0000  4 P 2.35-2.42, 2 Cu 2.60
Cu 0.5045 0.4484 0.5000  4 P 2.26-2.41
Cu 0.5516 0.0561 0.5000  4 P 2.26-2.41
Cu 0.6269 0.9131 0.0000  4 P 2.35-2.42, 2 Cu 2.60
Cu 0.7128 0.7576 0.5000  4 P 2.31-2.42, 1 Cu 2.55
Cu 0.9439 0.4955 0.5000  4 P 2.26-2.41
P 0.0810 0.4526 0.0000  6 Cu 2.34-2.42, 1 Mn 2.37
P 0.2540 0.2075 0.5000  5 Cu 2.30-2.42
P 0.3716 0.9190 0.0000  6 Cu 2.34-2.42, 1 Mn 2.37
P 0.5474 0.6284 0.0000  6 Cu 2.34-2.42, 1 Mn 2.37
P 0.6667 0.3333 0.5000  3 Cu 2.26
P 0.7925 0.0464 0.5000  5 Cu 2.30-2.42
P 0.9536 0.7460 0.5000  5 Cu 2.30-2.42

=====

# 3
Computed, not measured: Sr4CeNd3Nb2Cu4O20 after structural relaxation at the PBEsol level of DFT.

Results
Its symmetry is Amm2, No. 38.

a b c (Å): 5.5289 14.5542 14.5542
angles (deg): 21.90 90.00 90.00
Closest atoms and distances in Å follow each position.
Element x y z (fractional)
Sr 0.0000 0.0000 0.0000  8 O 2.69-2.79
Sr 0.0000 0.1629 0.1629  12 O 2.75-3.01
Sr 0.5000 0.4999 0.4999  8 O 2.69-2.79
Sr 0.5000 0.6644 0.6644  8 O 2.68-2.79
Ce 0.5000 0.7896 0.7896  4 O 2.24
Nd 0.0000 0.2867 0.2867  8 O 2.36-2.57
Nd 0.0000 0.8763 0.8763  8 O 2.35-2.58
Nd 0.5000 0.3762 0.3762  8 O 2.35-2.58
Nb 0.0000 0.5823 0.5823  6 O 1.95-1.98
Nb 0.5000 0.0824 0.0824  6 O 1.95-1.98
Cu 0.0000 0.4399 0.4399  5 O 1.96-2.10
Cu 0.0000 0.7247 0.7247  5 O 1.96-2.09
Cu 0.5000 0.2248 0.2248  5 O 1.96-2.09
Cu 0.5000 0.9400 0.9400  5 O 1.96-2.09
O 0.0000 0.5134 0.5134  1 Nb 1.97, 1 Cu 2.10
O 0.0000 0.6517 0.6517  1 Nb 1.98, 1 Cu 2.09
O 0.2498 0.1855 0.6850  2 Cu 1.96
O 0.2496 0.3323 0.8332  2 Nb 1.95
O 0.2498 0.6850 0.1855  2 Cu 1.96
O 0.2496 0.8332 0.3323  2 Nb 1.95
O 0.2531 0.4826 0.9765  2 Cu 1.96
O 0.2531 0.9765 0.4826  2 Cu 1.96
O 0.2559 0.0744 0.5863  1 Ce 2.24, 3 Nd 2.35-2.36
O 0.2559 0.5863 0.0744  1 Ce 2.24, 3 Nd 2.35-2.36
O 0.5000 0.0133 0.0133  1 Nb 1.97, 1 Cu 2.09
O 0.5000 0.1517 0.1517  1 Nb 1.98, 1 Cu 2.09
O 0.7441 0.0744 0.5863  1 Ce 2.24, 3 Nd 2.35-2.36
O 0.7441 0.5863 0.0744  1 Ce 2.24, 3 Nd 2.35-2.36
O 0.7469 0.4826 0.9765  2 Cu 1.96
O 0.7469 0.9765 0.4826  2 Cu 1.96
O 0.7502 0.1855 0.6850  2 Cu 1.96
O 0.7504 0.3323 0.8332  2 Nb 1.95
O 0.7502 0.6850 0.1855  2 Cu 1.96
O 0.7504 0.8332 0.3323  2 Nb 1.95

=====

# 4
Computed, not measured: Sr4CePr3Nb2Cu4O20 after structural relaxation at the PBEsol level of DFT.

Results
Its symmetry is Amm2, No. 38.

a b c (Å): 5.5404 14.5991 14.5991
angles (deg): 21.88 90.00 90.00
Closest atoms and distances in Å follow each position.
Element x y z (fractional)
Sr 0.0000 0.0000 0.0000  8 O 2.69-2.80
Sr 0.0000 0.1619 0.1619  12 O 2.76-3.00
Sr 0.5000 0.4999 0.4999  8 O 2.69-2.80
Sr 0.5000 0.6639 0.6639  8 O 2.67-2.79
Ce 0.5000 0.7889 0.7889  4 O 2.23
Pr 0.0000 0.2856 0.2856  8 O 2.38-2.58
Pr 0.0000 0.8762 0.8762  8 O 2.37-2.60
Pr 0.5000 0.3762 0.3762  8 O 2.37-2.60
Nb 0.0000 0.5820 0.5820  6 O 1.96-1.98
Nb 0.5000 0.0820 0.0820  6 O 1.96-1.98
Cu 0.0000 0.4403 0.4403  5 O 1.96-2.09
Cu 0.0000 0.7236 0.7236  5 O 1.96-2.08
Cu 0.5000 0.2237 0.2237  5 O 1.96-2.08
Cu 0.5000 0.9404 0.9404  5 O 1.97-2.09
O 0.0000 0.5133 0.5133  1 Nb 1.97, 1 Cu 2.09
O 0.0000 0.6511 0.6511  1 Nb 1.98, 1 Cu 2.08
O 0.2495 0.3319 0.8330  2 Nb 1.96
O 0.2495 0.8330 0.3319  2 Nb 1.96
O 0.2498 0.1859 0.6854  2 Cu 1.96-1.97
O 0.2498 0.6854 0.1859  2 Cu 1.96-1.97
O 0.2539 0.4822 0.9746  2 Cu 1.96
O 0.2539 0.9746 0.4822  2 Cu 1.96
O 0.2569 0.0727 0.5865  1 Ce 2.23, 3 Pr 2.37-2.38
O 0.2569 0.5865 0.0727  1 Ce 2.23, 3 Pr 2.37-2.38
O 0.5000 0.0132 0.0132  1 Nb 1.97, 1 Cu 2.09
O 0.5000 0.1511 0.1511  1 Nb 1.98, 1 Cu 2.08
O 0.7431 0.0727 0.5865  1 Ce 2.23, 3 Pr 2.37-2.38
O 0.7431 0.5865 0.0727  1 Ce 2.23, 3 Pr 2.37-2.38
O 0.7461 0.4822 0.9746  2 Cu 1.96
O 0.7461 0.9746 0.4822  2 Cu 1.96
O 0.7502 0.1859 0.6854  2 Cu 1.96-1.97
O 0.7502 0.6854 0.1859  2 Cu 1.96-1.97
O 0.7505 0.3319 0.8330  2 Nb 1.96
O 0.7505 0.8330 0.3319  2 Nb 1.96

=====

# 5
Computed, not measured: Sr5CeNd3Cu4PbO18 after structural relaxation at the PBEsol level of DFT.

Results
Its symmetry is Amm2, No. 38.

a b c (Å): 5.3903 15.2751 15.2751
angles (deg): 20.33 90.00 90.00
Closest atoms and distances in Å follow each position.
Element x y z (fractional)
Sr 0.0000 0.0000 0.0000  9 O 2.64-2.74
Sr 0.0000 0.1753 0.1753  9 O 2.64-2.74
Sr 0.0000 0.5877 0.5877  2 O 2.31
Sr 0.5000 0.5007 0.5007  9 O 2.61-2.74
Sr 0.5000 0.6754 0.6754  9 O 2.64-2.74
Ce 0.0000 0.8792 0.8792  4 O 2.22
Nd 0.0000 0.2947 0.2947  8 O 2.33-2.55
Nd 0.5000 0.3819 0.3819  8 O 2.33-2.53
Nd 0.5000 0.7947 0.7947  8 O 2.33-2.55
Cu 0.0000 0.4449 0.4449  5 O 1.94-1.98
Cu 0.0000 0.7300 0.7300  5 O 1.94-1.97
Cu 0.5000 0.2328 0.2328  4 O 1.90
Cu 0.5000 0.9420 0.9420  4 O 1.90
Pb 0.5000 0.0876 0.0876  2 O 2.15
O 0.0000 0.0877 0.0877  4 Sr 2.64-2.70, 2 Pb 2.70
O 0.0000 0.5108 0.5108  1 Cu 1.98
O 0.0000 0.6644 0.6644  1 Cu 1.97
O 0.2446 0.0840 0.5947  1 Ce 2.22, 3 Nd 2.33
O 0.2446 0.5947 0.0840  1 Ce 2.22, 3 Nd 2.33
O 0.2491 0.1812 0.6916  2 Cu 1.90-1.94
O 0.2491 0.6916 0.1812  2 Cu 1.90-1.94
O 0.2522 0.4863 0.9906  2 Cu 1.90-1.94
O 0.2522 0.9906 0.4863  2 Cu 1.90-1.94
O 0.5000 0.0161 0.0161  1 Pb 2.15, 1 Cu 2.23
O 0.5000 0.1590 0.1590  1 Pb 2.15, 1 Cu 2.22
O 0.5000 0.5874 0.5874  4 Sr 2.61-2.70, 2 Pb 2.70
O 0.7478 0.4863 0.9906  2 Cu 1.90-1.94
O 0.7478 0.9906 0.4863  2 Cu 1.90-1.94
O 0.7509 0.1812 0.6916  2 Cu 1.90-1.94
O 0.7509 0.6916 0.1812  2 Cu 1.90-1.94
O 0.7554 0.0840 0.5947  1 Ce 2.22, 3 Nd 2.33
O 0.7554 0.5947 0.0840  1 Ce 2.22, 3 Nd 2.33

=====

# 6
Computed, not measured: Ce3Cu4P4O2 after structural relaxation at the PBEsol level of DFT.

Results
Its symmetry is I4/mmm, No. 139.

a b c (Å): 13.5127 13.5127 13.5127
angles (deg): 163.73 163.73 23.09
Closest atoms and distances in Å follow each position.
Element x y z (fractional)
Ce 0.0000 0.0000 0.0000  8 P 2.97, 8 Cu 3.24
Ce 0.2982 0.2982 0.0000  4 O 2.30
Ce 0.7018 0.7018 0.0000  4 O 2.30
Cu 0.0986 0.5986 0.5000  4 P 2.32-2.37
Cu 0.4014 0.9014 0.5000  4 P 2.32-2.37
Cu 0.5986 0.0986 0.5000  4 P 2.32-2.37
Cu 0.9014 0.4014 0.5000  4 P 2.32-2.37
P 0.1482 0.1482 0.0000  4 Cu 2.32
P 0.4540 0.4540 0.0000  4 Cu 2.37, 1 P 2.44
P 0.5460 0.5460 0.0000  4 Cu 2.37, 1 P 2.44
P 0.8518 0.8518 0.0000  4 Cu 2.32
O 0.2500 0.7500 0.5000  4 Ce 2.30
O 0.7500 0.2500 0.5000  4 Ce 2.30

=====

# 7
Computed, not measured: Sr2CeYCu2RuO10 after structural relaxation at the PBEsol level of DFT.

Results
Its symmetry is I4mm, No. 107.

a b c (Å): 14.5478 14.5478 14.5478
angles (deg): 165.03 165.03 21.23
Closest atoms and distances in Å follow each position.
Element x y z (fractional)
Sr 0.0000 0.0000 0.0000  12 O 2.69-2.91
Sr 0.1587 0.1587 0.0000  12 O 2.70-3.01
Ce 0.8707 0.8707 0.0000  8 O 2.26-2.46
Y 0.2826 0.2826 0.0000  8 O 2.29-2.43
Cu 0.4334 0.4334 0.0000  5 O 1.91-2.12
Cu 0.7226 0.7226 0.0000  4 O 1.90
Ru 0.5777 0.5777 0.0000  6 O 1.89-2.01
O 0.0771 0.5771 0.5000  2 Ru 1.89
O 0.2295 0.7295 0.5000  2 Cu 1.90
O 0.3278 0.8278 0.5000  2 Ce 2.26, 2 Y 2.29
O 0.4254 0.9254 0.5000  2 Cu 1.91
O 0.5074 0.5074 0.0000  1 Ru 2.01, 1 Cu 2.12
O 0.5771 0.0771 0.5000  2 Ru 1.89
O 0.6469 0.6469 0.0000  1 Ru 1.98, 1 Cu 2.16
O 0.7295 0.2295 0.5000  2 Cu 1.90
O 0.8278 0.3278 0.5000  2 Ce 2.26, 2 Y 2.29
O 0.9254 0.4254 0.5000  2 Cu 1.91

=====

# 8
Computed, not measured: CeCuSO after structural relaxation at the PBEsol level of DFT.

Results
Its symmetry is P4/nmm, No. 129.

a b c (Å): 3.8288 3.8288 8.2980
angles (deg): 90.00 90.00 90.00
Closest atoms and distances in Å follow each position.
Element x y z (fractional)
Ce 0.2500 0.2500 0.1535  4 O 2.30
Ce 0.7500 0.7500 0.8465  4 O 2.30
Cu 0.2500 0.7500 0.5000  4 S 2.37
Cu 0.7500 0.2500 0.5000  4 S 2.37
S 0.2500 0.2500 0.6684  4 Cu 2.37
S 0.7500 0.7500 0.3316  4 Cu 2.37
O 0.2500 0.7500 0.0000  4 Ce 2.30
O 0.7500 0.2500 0.0000  4 Ce 2.30

=====

no.,calculated total energy (eV/cell)
1,-38.0
2,-131.3
3,-257.4
4,-257.1
5,-219.4
6,-89.7
7,-125.9
8,-56.8